12
Lattice="2.9856 0.0000 0.0000 -1.4928 2.5856 0.0000 0.0000 0.0000 28.4156" Properties=species:S:1:pos:R:3 comment="IrWCl2 PBE-GGA relaxed" polymorph_energy_ev_per_fu=0.91 formation_energy_uncorrected_ev_per_atom=0.04 final_energy_ev_per_atom=-6.34 pbc="T T T"
Ir 0.0000 0.0000 0.0000
Ir 0.0000 1.7237 18.9437
Ir 1.4928 0.8619 9.4719
W 0.0000 0.0000 20.9621
W 0.0000 1.7237 11.4903
W 1.4928 0.8619 2.0184
Cl 0.0000 0.0000 7.3602
Cl 0.0000 0.0000 13.3486
Cl 0.0000 1.7237 3.8768
Cl 0.0000 1.7237 26.3039
Cl 1.4928 0.8619 16.8320
Cl 1.4928 0.8619 22.8205

=====

11
Lattice="9.0426 -2.4963 0.0000 9.0426 2.4963 0.0000 -1.3869 0.0000 6.5889" Properties=species:S:1:pos:R:3 comment="Ho8Ga2Ag PBE-GGA relaxed" ef_kj_per_mol_atoms=-22.7 final_energy_ev_per_atom=-4.37 pbc="T T T"
Ho 0.0992 0.0000 1.7404
Ho 2.5631 0.0000 5.3512
Ho 5.3977 0.0000 3.5061
Ho 7.3181 0.0000 0.2472
Ho 9.3801 0.0000 6.3417
Ho 11.3005 0.0000 3.0828
Ho 14.1351 0.0000 1.2377
Ho 16.5991 0.0000 4.8485
Ga 3.1215 0.0000 1.6167
Ga 13.5767 0.0000 4.9722
Ag 8.3491 0.0000 3.2944